[1]
VASP calculation (PBE) on an optimized crystal structure of Ce2IBr3.

Unit cell a=9.6684 b=9.6684 c=14.4188 alpha=122.88 beta=122.88 gamma=24.53
Fractional positions:
Ce: 0.2449 0.2449 0.3595
Ce: 0.2508 0.2508 0.8617
Ce: 0.7492 0.7492 0.1383
Ce: 0.7551 0.7551 0.6405
I: 0.3976 0.3976 0.8150
I: 0.6024 0.6024 0.1850
Br: 0.1419 0.1419 0.4640
Br: 0.1422 0.1422 0.9579
Br: 0.3741 0.3741 0.2992
Br: 0.6259 0.6259 0.7008
Br: 0.8578 0.8578 0.0421
Br: 0.8581 0.8581 0.5360

Properties
- Fermi-level density of states (states/eV/cell) = 24.21
- formation energy (no corrections) (eV/atom) = -1.52
- crystal system = monoclinic
- SG = C2/m (12)
- DFT total energy (eV per atom) = -4.60

***

[2]
VASP calculation (PBE) on an optimized crystal structure of Ce2I2Br3.

Unit cell a=7.2726 b=7.2726 c=8.8102 alpha=112.19 beta=112.19 gamma=33.82
Fractional positions:
Ce: 0.1748 0.1748 0.2113
Ce: 0.8252 0.8252 0.7887
I: 0.1540 0.1540 0.8065
I: 0.8460 0.8460 0.1935
Br: 0.3649 0.3649 0.5681
Br: 0.5000 0.5000 0.0000
Br: 0.6351 0.6351 0.4319

Properties
- Fermi-level density of states (states/eV/cell) = 14.76
- formation energy (no corrections) (eV/atom) = -1.55
- crystal system = monoclinic
- SG = C2/m (12)
- relative energy among the computed polymorphs (meV/atom) = 0
- DFT total energy (eV per atom) = -4.41

***

[3]
VASP calculation (PBE) on an optimized crystal structure of CeIBr3.

Unit cell a=7.5748 b=7.5748 c=8.3882 alpha=121.70 beta=121.70 gamma=72.06
Fractional positions:
Ce: 0.2370 0.2370 0.1020
Ce: 0.7630 0.7630 0.8980
I: 0.4389 0.4389 0.6447
I: 0.5611 0.5611 0.3553
Br: 0.0516 0.4317 0.7996
Br: 0.0627 0.0627 0.2508
Br: 0.4317 0.0516 0.7996
Br: 0.5683 0.9484 0.2004
Br: 0.9373 0.9373 0.7492
Br: 0.9484 0.5683 0.2004

Properties
- Fermi-level density of states (states/eV/cell) = 2.77
- formation energy (no corrections) (eV/atom) = -1.42
- crystal system = monoclinic
- SG = C2/m (12)
- relative energy among the computed polymorphs (meV/atom) = 7
- DFT total energy (eV per atom) = -3.92

***

[4]
VASP calculation (PBE) on an optimized crystal structure of Ce3I2Br4.

Unit cell a=4.1314 b=4.1314 c=23.6213 alpha=90.00 beta=90.00 gamma=120.00
Fractional positions:
Ce: 0.0000 0.0000 0.0000
Ce: 0.0000 0.0000 0.3531
Ce: 0.6667 0.3333 0.6671
I: 0.6667 0.3333 0.0909
I: 0.6667 0.3333 0.9091
Br: 0.0000 0.0000 0.5874
Br: 0.0000 0.0000 0.7468
Br: 0.6667 0.3333 0.2733
Br: 0.6667 0.3333 0.4328

Properties
- Fermi-level density of states (states/eV/cell) = 19.75
- formation energy (no corrections) (eV/atom) = -1.50
- crystal system = trigonal
- SG = P3m1 (156)
- DFT total energy (eV per atom) = -4.57

***

[5]
VASP calculation (PBE) on an optimized crystal structure of CeIBr.

Unit cell a=7.3068 b=4.1816 c=7.7594 alpha=90.00 beta=91.41 gamma=90.00
Fractional positions:
Ce: 0.2184 0.2500 0.0059
Ce: 0.7816 0.7500 0.9941
I: 0.4119 0.7500 0.7502
I: 0.5881 0.2500 0.2498
Br: 0.0912 0.7500 0.2562
Br: 0.9088 0.2500 0.7438

Properties
- Fermi-level density of states (states/eV/cell) = 12.23
- formation energy (no corrections) (eV/atom) = -1.42
- crystal system = monoclinic
- SG = P2_1/m (11)
- relative energy among the computed polymorphs (meV/atom) = 0
- DFT total energy (eV per atom) = -4.48

***

[6]
VASP calculation (PBE) on an optimized crystal structure of Ce3I4Br2.

Unit cell a=4.1943 b=4.1943 c=24.3881 alpha=90.00 beta=90.00 gamma=120.00
Fractional positions:
Ce: 0.0000 0.0000 0.0000
Ce: 0.0000 0.0000 0.3427
Ce: 0.6667 0.3333 0.6799
I: 0.0000 0.0000 0.5929
I: 0.0000 0.0000 0.7668
I: 0.6667 0.3333 0.2557
I: 0.6667 0.3333 0.4297
Br: 0.6667 0.3333 0.0762
Br: 0.6667 0.3333 0.9238

Properties
- Fermi-level density of states (states/eV/cell) = 19.80
- formation energy (no corrections) (eV/atom) = -1.37
- crystal system = trigonal
- SG = P3m1 (156)
- DFT total energy (eV per atom) = -4.41

***

[7]
VASP calculation (PBE) on an optimized crystal structure of CeIBr.

Unit cell a=7.6418 b=7.6418 c=7.9766 alpha=90.00 beta=90.00 gamma=97.64
Fractional positions:
Ce: 0.0608 0.9392 0.8039
Ce: 0.4392 0.5608 0.3039
Ce: 0.5608 0.4392 0.6961
Ce: 0.9392 0.0608 0.1961
I: 0.2095 0.2095 0.5000
I: 0.2905 0.2905 0.0000
I: 0.7095 0.7095 0.0000
I: 0.7905 0.7905 0.5000
Br: 0.2005 0.7995 0.1326
Br: 0.2995 0.7005 0.6326
Br: 0.7005 0.2995 0.3674
Br: 0.7995 0.2005 0.8674

Properties
- Fermi-level density of states (states/eV/cell) = 29.17
- formation energy (no corrections) (eV/atom) = -1.30
- crystal system = orthorhombic
- SG = Cmce (64)
- relative energy among the computed polymorphs (meV/atom) = 121
- DFT total energy (eV per atom) = -4.35

***

[8]
VASP calculation (PBE) on an optimized crystal structure of Ce8Ir3I4Br.

Unit cell a=8.4437 b=8.4437 c=9.2295 alpha=117.24 beta=117.24 gamma=59.99
Fractional positions:
Ce: 0.2134 0.7426 0.6973
Ce: 0.2282 0.2282 0.6834
Ce: 0.2574 0.7866 0.3027
Ce: 0.2582 0.2582 0.3033
Ce: 0.7418 0.7418 0.6967
Ce: 0.7426 0.2134 0.6973
Ce: 0.7718 0.7718 0.3166
Ce: 0.7866 0.2574 0.3027
Ir: 0.0000 0.0000 0.5000
Ir: 0.0000 0.5000 0.5000
Ir: 0.5000 0.0000 0.5000
I: 0.0000 0.0000 0.0000
I: 0.0000 0.5000 0.0000
I: 0.5000 0.0000 0.0000
I: 0.5000 0.5000 0.0000
Br: 0.5000 0.5000 0.5000

Properties
- Fermi-level density of states (states/eV/cell) = 47.33
- formation energy (no corrections) (eV/atom) = -0.92
- crystal system = monoclinic
- SG = C2/m (12)
- DFT total energy (eV per atom) = -6.04

***

[9]
VASP calculation (PBE) on an optimized crystal structure of K2CeI4Br2.

Unit cell a=8.1438 b=8.1438 c=8.2899 alpha=118.34 beta=118.34 gamma=62.33
Fractional positions:
K: 0.2377 0.2377 0.2274
K: 0.7623 0.7623 0.7726
Ce: 0.0000 0.0000 0.5000
I: 0.2013 0.6960 0.2002
I: 0.3040 0.7987 0.7998
I: 0.6960 0.2013 0.2002
I: 0.7987 0.3040 0.7998
Br: 0.2311 0.2311 0.6220
Br: 0.7689 0.7689 0.3780

Properties
- formation energy (no corrections) (eV/atom) = -1.43
- crystal system = monoclinic
- SG = C2/m (12)
- DFT total energy (eV per atom) = -3.39

***

[10]
VASP calculation (PBE) on an optimized crystal structure of LiCeIBr4.

Unit cell a=7.6996 b=7.6996 c=12.0487 alpha=113.31 beta=113.31 gamma=75.16
Fractional positions:
Li: 0.1889 0.1889 0.3314
Li: 0.8111 0.8111 0.6686
Ce: 0.4513 0.4513 0.7851
Ce: 0.5487 0.5487 0.2149
I: 0.3091 0.3091 0.9407
I: 0.6909 0.6909 0.0593
Br: 0.1622 0.7509 0.8008
Br: 0.2219 0.2219 0.5588
Br: 0.2491 0.8378 0.1992
Br: 0.3908 0.3908 0.3157
Br: 0.6092 0.6092 0.6843
Br: 0.7509 0.1622 0.8008
Br: 0.7781 0.7781 0.4412
Br: 0.8378 0.2491 0.1992

Properties
- formation energy (no corrections) (eV/atom) = -1.46
- crystal system = monoclinic
- SG = C2/m (12)
- DFT total energy (eV per atom) = -3.75

***

[11]
VASP calculation (PBE) on an optimized crystal structure of Li2Ce2I2Br5.

Unit cell a=12.8875 b=12.8875 c=12.8875 alpha=153.14 beta=153.14 gamma=38.36
Fractional positions:
Li: 0.1439 0.1439 0.0000
Li: 0.8561 0.8561 0.0000
Ce: 0.3784 0.3784 0.0000
Ce: 0.6216 0.6216 0.0000
I: 0.2525 0.2525 0.0000
I: 0.7475 0.7475 0.0000
Br: 0.1169 0.6169 0.5000
Br: 0.3831 0.8831 0.5000
Br: 0.5000 0.5000 0.0000
Br: 0.6169 0.1169 0.5000
Br: 0.8831 0.3831 0.5000

Properties
- Fermi-level density of states (states/eV/cell) = 18.78
- formation energy (no corrections) (eV/atom) = -1.40
- crystal system = tetragonal
- SG = I4/mmm (139)
- DFT total energy (eV per atom) = -3.87

***

[12]
VASP calculation (PBE) on an optimized crystal structure of Na2Ce2I5Br2.

Unit cell a=13.7798 b=13.7798 c=13.7798 alpha=153.00 beta=153.00 gamma=38.56
Fractional positions:
Na: 0.1617 0.1617 0.0000
Na: 0.8383 0.8383 0.0000
Ce: 0.3777 0.3777 0.0000
Ce: 0.6223 0.6223 0.0000
I: 0.1215 0.6215 0.5000
I: 0.3785 0.8785 0.5000
I: 0.5000 0.5000 0.0000
I: 0.6215 0.1215 0.5000
I: 0.8785 0.3785 0.5000
Br: 0.2691 0.2691 0.0000
Br: 0.7309 0.7309 0.0000

Properties
- Fermi-level density of states (states/eV/cell) = 19.15
- formation energy (no corrections) (eV/atom) = -1.29
- crystal system = tetragonal
- SG = I4/mmm (139)
- DFT total energy (eV per atom) = -3.62